1.
A plane-wave DFT calculation with meta-GGA SCAN was carried out for a crystal of LiHfNi3 relaxed with PBEsol.

Cell lengths 4.5505, 4.5505, 4.5505 Å; angles 90.00, 90.00, 90.00 degrees
Sites, in units of the cell vectors:
Li: 0.0000 0.0000 0.0000
Hf: 0.5000 0.5000 0.5000
Ni: 0.0000 0.5000 0.5000
Ni: 0.5000 0.0000 0.5000
Ni: 0.5000 0.5000 0.0000

Values from the calculation:
Energy of formation from the pure elements, eV/atom: 1.006
DOS(E_F), states/eV/atom: 0.449
Total DFT energy (no corrections), eV per atom: -21.711
SG: No. 221
Theoretical density, kg/m³: 6371

=====

2.
A plane-wave DFT calculation with meta-GGA SCAN was carried out for a crystal of BaLi2In relaxed with PBEsol.

Cell lengths 10.4129, 10.4129, 10.4129 Å; angles 151.01, 151.01, 41.46 degrees
Sites, in units of the cell vectors:
Ba: 0.3750 0.6250 0.7500
Ba: 0.6250 0.3750 0.2500
Li: 0.0000 0.0000 0.0000
Li: 0.0000 0.0000 0.5000
Li: 0.0000 0.5000 0.0000
Li: 0.5000 0.0000 0.5000
In: 0.1250 0.8750 0.2500
In: 0.8750 0.1250 0.7500

Values from the calculation:
Energy of formation from the pure elements, eV/atom: -0.134
DOS(E_F), states/eV/atom: 0.825
Total DFT energy (no corrections), eV per atom: -19.563
SG: No. 141
Theoretical density, kg/m³: 3339

=====

3.
A plane-wave DFT calculation with meta-GGA SCAN was carried out for a crystal of ScBeFe relaxed with PBEsol.

Cell lengths 3.7421, 3.7421, 3.2694 Å; angles 90.00, 90.00, 120.00 degrees
Sites, in units of the cell vectors:
Sc: 0.0000 0.0000 0.0000
Be: 0.3333 0.6667 0.5000
Fe: 0.6667 0.3333 0.5000

Values from the calculation:
Energy of formation from the pure elements, eV/atom: 0.107
DOS(E_F), states/eV/atom: 0.483
Total DFT energy (no corrections), eV per atom: -12.133
SG: No. 187
Theoretical density, kg/m³: 4599

=====

4.
A plane-wave DFT calculation with meta-GGA SCAN was carried out for a crystal of Li4CrPt relaxed with PBEsol.

Cell lengths 4.8327, 4.8327, 4.8327 Å; angles 60.00, 60.00, 60.00 degrees
Sites, in units of the cell vectors:
Li: 0.3765 0.3765 0.3765
Li: 0.3765 0.3765 0.8705
Li: 0.3765 0.8705 0.3765
Li: 0.8705 0.3765 0.3765
Cr: 0.0000 0.0000 0.0000
Pt: 0.7500 0.7500 0.7500

Values from the calculation:
Energy of formation from the pure elements, eV/atom: -0.082
DOS(E_F), states/eV/atom: 0.383
Total DFT energy (no corrections), eV per atom: -16.438
SG: No. 216
Theoretical density, kg/m³: 5719